# 1
This record from Alexandria via LeMat-Bulk describes crystalline Pa2ZnRu at its relaxed geometry. The functional is PBE.

- DFT formation energy (eV per formula unit) = -0.629

a b c (Å): 3.6236 3.6236 6.3505
angles (deg): 90.00 90.00 90.00
With the nearest neighbours (Å) after each atom.
Space group P4/mmm (No. 123)
Unique sites:
1 Pa 0.0000 0.0000 0.2306 [2 per cell]  1 Pa 2.93, 4 Ru 2.95, 4 Zn 3.08
2 Zn 0.5000 0.5000 0.5000 [1 per cell]  8 Pa 3.08, 2 Ru 3.18
3 Ru 0.5000 0.5000 0.0000 [1 per cell]  8 Pa 2.95, 2 Zn 3.18

***

# 2
This record from Alexandria via LeMat-Bulk describes crystalline Pa2ZnRu2 at its relaxed geometry. The functional is PBE.

- DFT formation energy (eV per formula unit) = -2.368

a b c (Å): 4.4479 5.8394 7.5059
angles (deg): 90.00 90.00 90.00
With the nearest neighbours (Å) after each atom.
Space group Immm (No. 71)
Unique sites:
1 Pa 0.0000 0.0000 0.1897 [4 per cell]  6 Ru 2.74-3.02, 1 Pa 2.85
2 Zn 0.0000 0.5000 0.0000 [2 per cell]  4 Ru 2.66
3 Ru 0.0000 0.2485 0.5000 [4 per cell]  2 Zn 2.66, 2 Pa 2.74, 2 Ru 2.90-2.94

***

# 3
This record from Alexandria via LeMat-Bulk describes crystalline Pa2ZnRu at its relaxed geometry. The functional is PBE.

- DFT formation energy (eV per formula unit) = -0.745

a b c (Å): 4.3651 4.3651 4.1627
angles (deg): 90.00 90.00 90.00
With the nearest neighbours (Å) after each atom.
Space group P4/mmm (No. 123)
Unique sites:
1 Pa 0.0000 0.5000 0.0000 [2 per cell]  4 Ru 3.02, 4 Zn 3.02, 4 Pa 3.09
2 Zn 0.0000 0.0000 0.5000 [1 per cell]  8 Pa 3.02, 4 Ru 3.09
3 Ru 0.5000 0.5000 0.5000 [1 per cell]  8 Pa 3.02, 4 Zn 3.09

***

# 4
This record from Alexandria via LeMat-Bulk describes crystalline PaZnRu at its relaxed geometry. The functional is PBE.

- DFT formation energy (eV per formula unit) = -0.594

a b c (Å): 4.4710 4.4710 3.2543
angles (deg): 90.00 90.00 120.00
With the nearest neighbours (Å) after each atom.
Space group P-6m2 (No. 187)
Unique sites:
1 Pa 0.0000 0.0000 0.0000 [1 per cell]  6 Ru 3.05, 6 Zn 3.05, 2 Pa 3.25
2 Zn 0.6667 0.3333 0.5000 [1 per cell]  3 Ru 2.58
3 Ru 0.3333 0.6667 0.5000 [1 per cell]  3 Zn 2.58

***

# 5
This record from Alexandria via LeMat-Bulk describes crystalline PaZnRu at its relaxed geometry. The functional is PBE.

- DFT formation energy (eV per formula unit) = -1.335

a b c (Å): 4.3364 5.0782 10.4360
angles (deg): 90.00 90.00 90.00
With the nearest neighbours (Å) after each atom.
Space group Immm (No. 71)
Unique sites:
1 Pa 0.0000 0.0000 0.1882 [4 per cell]  4 Ru 2.61-2.87
2 Zn 0.0000 0.2427 0.5000 [4 per cell]  2 Zn 2.46-2.61
3 Ru 0.0000 0.5000 0.1317 [4 per cell]  4 Pa 2.61-2.87, 1 Ru 2.75, 4 Zn 2.85

***

# 6
This record from Alexandria via LeMat-Bulk describes crystalline ZrPaZnRu at its relaxed geometry. The functional is PBE.

- DFT formation energy (eV per formula unit) = -0.595

a b c (Å): 6.8067 6.8067 6.8067
angles (deg): 90.00 90.00 90.00
With the nearest neighbours (Å) after each atom.
Space group F-43m (No. 216)
Unique sites:
1 Zr 0.0000 0.0000 0.0000 [4 per cell]  4 Ru 2.95, 4 Zn 2.95
2 Pa 0.0000 0.0000 0.5000 [4 per cell]  4 Zn 2.95, 4 Ru 2.95
3 Zn 0.2500 0.2500 0.2500 [4 per cell]  4 Zr 2.95, 4 Pa 2.95
4 Ru 0.2500 0.2500 0.7500 [4 per cell]  4 Zr 2.95, 4 Pa 2.95

***

# 7
This record from Alexandria via LeMat-Bulk describes crystalline ZrPaRu4 at its relaxed geometry. The functional is PBE.

- DFT formation energy (eV per formula unit) = -1.658

a b c (Å): 7.4700 7.4700 7.4700
angles (deg): 90.00 90.00 90.00
With the nearest neighbours (Å) after each atom.
Space group F-43m (No. 216)
Unique sites:
1 Zr 0.0000 0.0000 0.0000 [4 per cell]  12 Ru 3.10, 4 Pa 3.23
2 Pa 0.2500 0.2500 0.7500 [4 per cell]  12 Ru 3.10, 4 Zr 3.23
3 Ru 0.1254 0.1254 0.3746 [16 per cell]  6 Ru 2.63-2.65

***

# 8
This record from Alexandria via LeMat-Bulk describes crystalline ZrPa2Ru at its relaxed geometry. The functional is PBE.

- distance to the lowest polymorph of the same formula (meV per atom) = 108.2
- DFT formation energy (eV per formula unit) = 0.146

a b c (Å): 4.8453 4.8453 12.9570
angles (deg): 90.00 90.00 120.00
With the nearest neighbours (Å) after each atom.
Space group R-3m (No. 166, hexagonal axes)
Unique sites:
1 Zr 0.0000 0.0000 0.0000 [3 per cell]  8 Pa 3.01-3.20
2 Pa 0.0000 0.0000 0.2467 [6 per cell]  4 Ru 2.98-3.28, 4 Zr 3.01-3.20
3 Ru 0.0000 0.0000 0.5000 [3 per cell]  8 Pa 2.98-3.28

***

# 9
This record from Alexandria via LeMat-Bulk describes crystalline ZrPa2Ru at its relaxed geometry. The functional is PBE.

- distance to the lowest polymorph of the same formula (meV per atom) = 0.0
- DFT formation energy (eV per formula unit) = -0.287

a b c (Å): 3.5668 3.5668 7.1180
angles (deg): 90.00 90.00 90.00
With the nearest neighbours (Å) after each atom.
Space group P4/mmm (No. 123)
Unique sites:
1 Zr 0.0000 0.0000 0.0000 [1 per cell]  8 Pa 3.28, 2 Ru 3.56, 4 Zr 3.57
2 Pa 0.5000 0.5000 0.2943 [2 per cell]  4 Ru 2.92, 1 Pa 2.93
3 Ru 0.0000 0.0000 0.5000 [1 per cell]  8 Pa 2.92

***

# 10
This record from Alexandria via LeMat-Bulk describes crystalline PaS5 at its relaxed geometry. The functional is PBE.

- E_form (uncorrected) (eV per formula unit) = -4.1

a b c (Å): 4.4808 10.6463 7.2740
angles (deg): 90.00 97.89 90.00
With the nearest neighbours (Å) after each atom.
Space group P2_1/m (No. 11)
Unique sites:
1 Pa 0.0808 0.2500 0.4920 [2 per cell]  8 S 2.63-2.94
2 S 0.2008 0.5028 0.5846 [4 per cell]  1 S 2.04
3 S 0.2211 0.1550 0.1756 [4 per cell]  1 S 2.02
4 S 0.3771 0.7500 0.3172 [2 per cell]  2 Pa 2.63

***

# 11
This record from Alexandria via LeMat-Bulk describes crystalline PaS2 at its relaxed geometry. The functional is PBE.

- E_form (uncorrected) (eV per formula unit) = -4.6

a b c (Å): 4.0734 4.0734 12.8436
angles (deg): 90.00 90.00 120.00
With the nearest neighbours (Å) after each atom.
Space group P6_3mc (No. 186)
Unique sites:
1 Pa 0.3333 0.6667 0.0000 [2 per cell]  6 S 2.73
2 S 0.0000 0.0000 0.1074 [2 per cell]  3 Pa 2.73
3 S 0.3333 0.6667 0.3922 [2 per cell]  3 Pa 2.73

***

# 12
This record from Alexandria via LeMat-Bulk describes crystalline Pa5S6 at its relaxed geometry. The functional is PBE.

- E_form (uncorrected) (eV per formula unit) = -18.0

a b c (Å): 6.6605 11.6030 6.7295
angles (deg): 90.00 109.32 90.00
With the nearest neighbours (Å) after each atom.
Space group C2/m (No. 12)
Unique sites:
1 Pa 0.0000 0.0000 0.0000 [2 per cell]  6 S 2.74-2.81
2 Pa 0.0000 0.1672 0.5000 [4 per cell]  6 S 2.73-2.74
3 Pa 0.0000 0.3340 0.0000 [4 per cell]  6 S 2.74-2.82
4 S 0.2428 0.3380 0.7420 [8 per cell]  5 Pa 2.73-2.82
5 S 0.2439 0.5000 0.2579 [4 per cell]  5 Pa 2.74-2.81

***

# 13
This record from Alexandria via LeMat-Bulk describes crystalline Pa6S5 at its relaxed geometry. The functional is PBE.

- E_form (uncorrected) (eV per formula unit) = -14.3

a b c (Å): 6.7612 11.0611 6.8274
angles (deg): 90.00 107.25 90.00
With the nearest neighbours (Å) after each atom.
Space group C2/m (No. 12)
Unique sites:
1 Pa 0.2460 0.1660 0.2446 [8 per cell]  5 S 2.72-2.75
2 Pa 0.2479 0.0000 0.7503 [4 per cell]  5 S 2.72-2.75
3 S 0.0000 0.1703 0.5000 [4 per cell]  6 Pa 2.74-2.75
4 S 0.0000 0.3352 0.0000 [4 per cell]  6 Pa 2.72-2.73
5 S 0.0000 0.5000 0.5000 [2 per cell]  6 Pa 2.75

***

# 14
This record from Alexandria via LeMat-Bulk describes crystalline PaSbS at its relaxed geometry. The functional is PBE.

- distance to the lowest polymorph of the same formula (meV per atom) = 156.7
- E_form (uncorrected) (eV per formula unit) = -2.6

a b c (Å): 3.5896 3.5896 11.1404
angles (deg): 90.00 90.00 90.00
With the nearest neighbours (Å) after each atom.
Space group I4mm (No. 107)
Unique sites:
1 Pa 0.0000 0.0000 0.0000 [2 per cell]  4 S 2.77
2 Sb 0.0000 0.0000 0.3054 [2 per cell]  5 S 3.28-3.42, 5 Pa 3.34-3.40, 4 Sb 3.59
3 S 0.0000 0.0000 0.5995 [2 per cell]  4 Pa 2.77

***

# 15
This record from Alexandria via LeMat-Bulk describes crystalline Pa2SbS6 at its relaxed geometry. The functional is PBE.

- E_form (uncorrected) (eV per formula unit) = -10.7

a b c (Å): 17.4328 4.0446 7.9774
angles (deg): 90.00 102.07 90.00
With the nearest neighbours (Å) after each atom.
Space group C2/m (No. 12)
Unique sites:
1 Pa 0.1644 0.0000 0.3266 [4 per cell]  6 S 2.61-2.74
2 Sb 0.0000 0.5000 0.0000 [2 per cell]  6 S 2.76-2.77
3 S 0.0113 0.0000 0.2404 [4 per cell]  1 Pa 2.61, 2 Sb 2.77
4 S 0.1612 0.5000 0.1031 [4 per cell]  2 Pa 2.69, 1 Sb 2.76
5 S 0.1763 0.5000 0.5586 [4 per cell]  3 Pa 2.72-2.74

***

# 16
This record from Alexandria via LeMat-Bulk describes crystalline PaSbS at its relaxed geometry. The functional is PBE.

- distance to the lowest polymorph of the same formula (meV per atom) = 0.0
- E_form (uncorrected) (eV per formula unit) = -3.0

a b c (Å): 4.0834 4.0834 16.8382
angles (deg): 90.00 90.00 90.00
With the nearest neighbours (Å) after each atom.
Space group I4/mmm (No. 139)
Unique sites:
1 Pa 0.0000 0.0000 0.1548 [4 per cell]  5 S 2.75-2.92
2 Sb 0.0000 0.5000 0.0000 [4 per cell]  4 Sb 2.89
3 S 0.0000 0.0000 0.3184 [4 per cell]  5 Pa 2.75-2.92

***

# 17
This record from Alexandria via LeMat-Bulk describes crystalline PaSbS at its relaxed geometry. The functional is PBE.

- distance to the lowest polymorph of the same formula (meV per atom) = 62.8
- E_form (uncorrected) (eV per formula unit) = -2.8

a b c (Å): 4.6419 4.6419 7.5563
angles (deg): 90.00 90.00 90.00
With the nearest neighbours (Å) after each atom.
Space group P4/nmm (No. 129, origin choice 2)
Unique sites:
1 Pa 0.2500 0.2500 0.1935 [2 per cell]  4 S 2.74
2 Sb 0.2500 0.7500 0.5000 [2 per cell]  4 Pa 3.28, 4 Sb 3.28
3 S 0.2500 0.7500 0.0000 [2 per cell]  4 Pa 2.74

***

# 18
This record from Alexandria via LeMat-Bulk describes crystalline PaSb2S5 at its relaxed geometry. The functional is PBE.

- E_form (uncorrected) (eV per formula unit) = -5.7

a b c (Å): 11.8174 8.1463 7.8017
angles (deg): 90.00 90.00 90.00
With the nearest neighbours (Å) after each atom.
Space group Pnma (No. 62)
Unique sites:
1 Pa 0.0065 0.2500 0.0730 [4 per cell]  7 S 2.67-2.90
2 Sb 0.1709 0.0192 0.5219 [8 per cell]  4 S 2.60-2.77
3 S 0.0080 0.2500 0.4447 [4 per cell]  4 Sb 2.76-3.06, 1 Pa 2.90
4 S 0.0798 0.0375 0.8270 [8 per cell]  1 Sb 2.62, 2 Pa 2.67-2.73
5 S 0.1956 0.7500 0.1330 [4 per cell]  2 Sb 2.60, 1 Pa 2.88
6 S 0.2251 0.2500 0.1710 [4 per cell]  1 Pa 2.69, 2 Sb 2.77

***

# 19
This record from Alexandria via LeMat-Bulk describes crystalline Pa2SbS at its relaxed geometry. The functional is PBE.

- distance to the lowest polymorph of the same formula (meV per atom) = 290.4
- E_form (uncorrected) (eV per formula unit) = -3.0

a b c (Å): 3.5435 3.5435 7.2347
angles (deg): 90.00 90.00 90.00
With the nearest neighbours (Å) after each atom.
Space group P4/mmm (No. 123)
Unique sites:
1 Pa 0.0000 0.0000 0.2332 [2 per cell]  4 S 3.02, 4 Sb 3.16, 1 Pa 3.37
2 Sb 0.5000 0.5000 0.5000 [1 per cell]  8 Pa 3.16
3 S 0.5000 0.5000 0.0000 [1 per cell]  8 Pa 3.02

***

# 20
This record from Alexandria via LeMat-Bulk describes crystalline Pa2SbS at its relaxed geometry. The functional is PBE.

- distance to the lowest polymorph of the same formula (meV per atom) = 0.0
- E_form (uncorrected) (eV per formula unit) = -4.1

a b c (Å): 4.0973 4.0973 20.4913
angles (deg): 90.00 90.00 120.00
With the nearest neighbours (Å) after each atom.
Space group R-3m (No. 166, hexagonal axes)
Unique sites:
1 Pa 0.0000 0.0000 0.2351 [6 per cell]  3 S 2.75
2 Sb 0.0000 0.0000 0.0000 [3 per cell]  6 Pa 3.11
3 S 0.0000 0.0000 0.5000 [3 per cell]  6 Pa 2.75

***

# 21
This record from Alexandria via LeMat-Bulk describes crystalline PaSbS at its relaxed geometry. The functional is PBE.

- distance to the lowest polymorph of the same formula (meV per atom) = 214.8
- E_form (uncorrected) (eV per formula unit) = -2.4

a b c (Å): 4.5354 4.5354 8.4839
angles (deg): 90.00 90.00 120.00
With the nearest neighbours (Å) after each atom.
Space group P6_3/mmc (No. 194)
Unique sites:
1 Pa 0.3333 0.6667 0.2500 [2 per cell]  3 S 2.62
2 Sb 0.0000 0.0000 0.0000 [2 per cell]  6 S 3.37, 6 Pa 3.37
3 S 0.3333 0.6667 0.7500 [2 per cell]  3 Pa 2.62

***

# 22
This record from Alexandria via LeMat-Bulk describes crystalline PaSbS6 at its relaxed geometry. The functional is PBE.

- E_form (uncorrected) (eV per formula unit) = -3.6

a b c (Å): 6.2143 12.5420 6.6255
angles (deg): 90.00 112.28 90.00
With the nearest neighbours (Å) after each atom.
Space group C2/m (No. 12)
Unique sites:
1 Pa 0.0000 0.0000 0.0000 [2 per cell]  6 S 2.60-2.84
2 Sb 0.0000 0.5000 0.5000 [2 per cell]  6 S 2.51-2.71
3 S 0.1446 0.0000 0.6417 [4 per cell]  1 S 2.05
4 S 0.1992 0.3580 0.7752 [8 per cell]  1 Sb 2.51, 1 Pa 2.60

***

# 23
This record from Alexandria via LeMat-Bulk describes crystalline PaSbS at its relaxed geometry. The functional is PBE.

- distance to the lowest polymorph of the same formula (meV per atom) = 78.4
- E_form (uncorrected) (eV per formula unit) = -2.8

a b c (Å): 4.5513 4.5513 4.1594
angles (deg): 90.00 90.00 120.00
With the nearest neighbours (Å) after each atom.
Space group P-6m2 (No. 187)
Unique sites:
1 Pa 0.0000 0.0000 0.0000 [1 per cell]  3 S 2.63
2 Sb 0.3333 0.6667 0.5000 [1 per cell]  6 Pa 3.35, 6 S 3.35
3 S 0.6667 0.3333 0.0000 [1 per cell]  3 Pa 2.63

***

# 24
This record from Alexandria via LeMat-Bulk describes crystalline Pa3SbS3 at its relaxed geometry. The functional is PBE.

- E_form (uncorrected) (eV per formula unit) = -7.7

a b c (Å): 7.8011 7.8011 21.5559
angles (deg): 90.00 90.00 120.00
With the nearest neighbours (Å) after each atom.
Space group R-3 (No. 148, hexagonal axes)
Unique sites:
1 Pa 0.0073 0.3982 0.4018 [18 per cell]  4 S 2.69-2.75
2 Sb 0.0000 0.0000 0.1652 [6 per cell]  6 Pa 3.19-3.21
3 S 0.0085 0.2584 0.6093 [18 per cell]  4 Pa 2.69-2.75

***

# 25
This record from Alexandria via LeMat-Bulk describes crystalline Sr2PaSbS6 at its relaxed geometry. The functional is PBE.

- E_form (uncorrected) (eV per formula unit) = -13.3

a b c (Å): 7.3875 7.3875 5.4338
angles (deg): 90.00 90.00 90.00
With the nearest neighbours (Å) after each atom.
Space group P4mm (No. 99)
Unique sites:
1 Sr 0.0000 0.5000 0.0000 [2 per cell]  4 S 3.08
2 Pa 0.0000 0.0000 0.6512 [1 per cell]  6 S 2.59-2.80
3 Sb 0.5000 0.5000 0.6085 [1 per cell]  1 S 2.41
4 S 0.0000 0.0000 0.1664 [1 per cell]  2 Pa 2.63-2.80
5 S 0.2463 0.2463 0.7010 [4 per cell]  1 Pa 2.59, 1 Sb 2.70
6 S 0.5000 0.5000 0.1653 [1 per cell]  1 Sb 2.41